GeOs3I: relaxed, PBE-GGA.

a b c (Å): 4.615 4.615 4.615
angles (deg): 90.00 90.00 90.00
Space group Pm-3m (No. 221)
Symmetry-distinct sites (fractional):
Ge: 0.000 0.000 0.000 (multiplicity 1)
Os: 0.000 0.000 0.500 (multiplicity 3)
I: 0.500 0.500 0.500 (multiplicity 1)

Relative energy among the computed polymorphs = 0 meV/atom
Formation energy (no corrections) = 2029 meV/atom